The following is a DFT calculation (GGA+U) of Mg6MnCO8 after structural relaxation.

POSCAR file:
```
Mg6MnCO8
1.0
4.253 0.000 0.000
0.000 4.253 0.000
0.000 0.000 8.594
Mg Mn C O
6 1 1 8
Direct
0.000 0.000 0.000 Mg
0.000 0.500 0.251 Mg
0.000 0.500 0.749 Mg
0.500 0.000 0.251 Mg
0.500 0.000 0.749 Mg
0.500 0.500 0.000 Mg
0.000 0.000 0.500 Mn
0.500 0.500 0.500 C
0.000 0.000 0.244 O
0.000 0.000 0.756 O
0.000 0.500 0.000 O
0.000 0.500 0.500 O
0.500 0.000 0.000 O
0.500 0.000 0.500 O
0.500 0.500 0.249 O
0.500 0.500 0.751 O
```

Properties
D(E_F)	0.22	states/eV/cell
polymorph energy (0 for the lowest one)	6.9	meV per atom
space group	P4/mmm
ρ	3640	kg/m3